[1]
Mg2CuNiSn (GGA-PBE, optimized geometry); DFT total energy = -3.176 eV per atom; energy of formation from the pure elements = 0.24 eV/atom; D(E_F) = 0.554 states/eV/atom; calculated volume = 20.44 A^3/atom
1.0
4.726 0.000 0.000
0.000 4.726 0.000
0.000 0.000 4.575
Mg Cu Ni Sn
2 1 1 1
Cartesian
0.000 2.363 0.000 Mg
2.363 0.000 0.000 Mg
0.000 0.000 2.288 Cu
0.000 0.000 0.000 Ni
2.363 2.363 2.288 Sn

---

[2]
Pm5DyIn2 (GGA-PBE, optimized geometry); DFT total energy = -4.503 eV per atom; energy of formation from the pure elements = -0.27 eV/atom; D(E_F) = 1.501 states/eV/atom; polymorph energy (0 for the lowest one) = 0.000 eV/f.u.; calculated volume = 30.12 A^3/atom
1.0
6.991 0.000 0.000
0.000 13.984 0.000
0.000 0.000 4.929
Pm Dy In
10 2 4
Cartesian
0.000 0.000 0.000 Pm
0.013 3.519 0.000 Pm
1.742 12.248 2.464 Pm
1.754 5.255 2.464 Pm
3.482 10.512 0.000 Pm
3.496 6.992 0.000 Pm
3.509 3.473 0.000 Pm
5.237 8.729 2.464 Pm
5.250 1.737 2.464 Pm
6.978 10.465 0.000 Pm
0.000 6.992 0.000 Dy
3.496 0.000 0.000 Dy
1.723 8.719 2.464 In
1.773 1.727 2.464 In
5.218 12.257 2.464 In
5.269 5.265 2.464 In

---

[3]
FeReHg (GGA-PBE, optimized geometry); DFT total energy = -6.188 eV per atom; energy of formation from the pure elements = 0.88 eV/atom; D(E_F) = 1.022 states/eV/atom; polymorph energy (0 for the lowest one) = 1.298 eV/f.u.; calculated volume = 16.94 A^3/atom
1.0
0.000 2.940 2.940
2.940 0.000 2.940
2.940 2.940 0.000
Fe Re Hg
1 1 1
Cartesian
0.000 0.000 0.000 Fe
4.410 4.410 4.410 Re
1.470 1.470 1.470 Hg

---

[4]
YHgP2O (GGA-PBE, optimized geometry); DFT total energy = -4.565 eV per atom; D(E_F) = 0.832 states/eV/atom; energy relative to the elements, uncorrected = -0.056 eV/atom; polymorph energy (0 for the lowest one) = 0.000 eV/f.u.; calculated volume = 25.40 A^3/atom
1.0
5.491 0.000 0.000
0.000 5.491 0.000
0.000 0.000 4.213
Y Hg P O
1 1 2 1
Cartesian
0.000 0.000 0.000 Y
2.745 2.745 2.106 Hg
0.000 2.745 0.000 P
2.745 0.000 0.000 P
0.000 0.000 2.106 O

---

Per-record magnetization, μB/f.u.: 0.00; 0.00; 0.91; 1.25